HoErPu2Bi4, relaxed, DFT GGA-PBE; total magnetization = 0.00 μB per formula unit; V = 258.1 Å³/f.u.; formation enthalpy at 0 K = -0.56 eV per atom
1.0
7.766 0.000 0.000
0.000 4.504 0.000
-2.601 0.000 7.377
Ho Er Pu Bi
1 1 2 4
Direct
0.000 0.000 0.000
0.000 0.500 0.500
0.500 0.000 0.500
0.500 0.500 0.000
0.245 0.000 0.748
0.245 0.500 0.249
0.755 0.000 0.252
0.755 0.500 0.751